First-principles (GGA-PBE) data for LiZrSi2 after structural relaxation, as listed in Alexandria.

## Properties
**Total magnetization**: 0.000 μB per formula unit
**Calculated total energy**: -5.591 eV per atom
**N(E_F)**: 2.3 states/eV/cell
**ΔE_f (raw)**: -264 meV per atom
**Polymorph energy (0 for the lowest one)**: 0.1315 eV/atom

abc: 2.8350 2.8350 8.3708
angles: 90.00 90.00 90.00
Closest atoms and distances in Å follow each position.
Space group P4/mmm (No. 123)
Inequivalent atoms, fractional coordinates:
Li 0.0000 0.0000 0.0000 x1  4 Li 2.83, 8 Si 2.88
Zr 0.0000 0.0000 0.5000 x1  4 Zr 2.83, 8 Si 2.91
Si 0.5000 0.5000 0.2476 x2  4 Si 2.83, 4 Li 2.88, 4 Zr 2.91

First-principles (GGA-PBE) data for LiZrSi2 after structural relaxation, as listed in Alexandria.

## Properties
**Total magnetization**: 0.000 μB per formula unit
**Calculated total energy**: -5.460 eV per atom
**N(E_F)**: 1.5 states/eV/cell
**ΔE_f (raw)**: -133 meV per atom
**Polymorph energy (0 for the lowest one)**: 0.2628 eV/atom

abc: 3.3232 3.6410 5.4922
angles: 90.00 90.00 90.00
Closest atoms and distances in Å follow each position.
Space group Pmm2 (No. 25)
Inequivalent atoms, fractional coordinates:
Li 0.0000 0.0000 0.0000 x1  5 Si 2.58-2.72
Zr 0.5000 0.5000 0.7014 x1  6 Si 2.71-2.78, 4 Li 2.96
Si 0.0000 0.0000 0.4706 x1  1 Li 2.58, 4 Zr 2.77, 4 Si 2.86
Si 0.5000 0.5000 0.2075 x1  2 Zr 2.71-2.78, 4 Li 2.72, 4 Si 2.86

First-principles (GGA-PBE) data for Li2ZrSi after structural relaxation, as listed in Alexandria.

## Properties
**Total magnetization**: 0.398 μB per formula unit
**Calculated total energy**: -4.559 eV per atom
**N(E_F)**: 11.7 states/eV/cell
**ΔE_f (raw)**: -109 meV per atom

abc: 3.7848 3.7848 20.6290
angles: 90.00 90.00 90.00
Closest atoms and distances in Å follow each position.
Space group I-42d (No. 122)
Inequivalent atoms, fractional coordinates:
Li 0.2157 0.2500 0.1250 x8  2 Li 2.50
Zr 0.0000 0.0000 0.5000 x4  4 Si 2.68, 4 Li 2.95
Si 0.0000 0.0000 0.0000 x4  4 Zr 2.68, 4 Li 2.87

First-principles (GGA-PBE) data for LiZrSi2 after structural relaxation, as listed in Alexandria.

## Properties
**Total magnetization**: 0.000 μB per formula unit
**Calculated total energy**: -5.450 eV per atom
**N(E_F)**: 2.8 states/eV/cell
**ΔE_f (raw)**: -123 meV per atom
**Polymorph energy (0 for the lowest one)**: 0.2725 eV/atom

abc: 2.9821 2.9821 27.0346
angles: 90.00 90.00 120.00
Closest atoms and distances in Å follow each position.
Space group R-3m (No. 166, hexagonal axes)
Inequivalent atoms, fractional coordinates:
Li 0.0000 0.0000 0.0000 x3  6 Si 2.77, 6 Li 2.98
Zr 0.0000 0.0000 0.5000 x3  6 Si 2.90, 6 Zr 2.98
Si 0.0000 0.0000 0.2531 x6  3 Li 2.77, 3 Zr 2.90, 6 Si 2.98

First-principles (GGA-PBE) data for Li3ZrSi after structural relaxation, as listed in Alexandria.

## Properties
**Total magnetization**: 2.634 μB per formula unit
**Calculated total energy**: -2.510 eV per atom
**N(E_F)**: 3.5 states/eV/cell
**ΔE_f (raw)**: 1432 meV per atom
**Polymorph energy (0 for the lowest one)**: 1.0107 eV/atom

abc: 5.0229 5.0229 5.0229
angles: 90.00 90.00 90.00
Closest atoms and distances in Å follow each position.
Space group Pm-3m (No. 221)
Inequivalent atoms, fractional coordinates:
Li 0.0000 0.0000 0.5000 x3  2 Zr 2.51
Zr 0.0000 0.0000 0.0000 x1  6 Li 2.51
Si 0.5000 0.5000 0.5000 x1  12 Li 3.55

First-principles (GGA-PBE) data for LiZr2Si after structural relaxation, as listed in Alexandria.

## Properties
**Total magnetization**: 0.000 μB per formula unit
**Calculated total energy**: -6.345 eV per atom
**N(E_F)**: 7.2 states/eV/cell
**ΔE_f (raw)**: -237 meV per atom

abc: 3.6280 4.2849 9.3604
angles: 90.00 90.00 90.00
Closest atoms and distances in Å follow each position.
Space group Imm2 (No. 44)
Inequivalent atoms, fractional coordinates:
Li 0.0000 0.0000 0.0000 x2  2 Si 2.63, 4 Zr 2.83
Zr 0.0000 0.0000 0.4583 x2  4 Li 2.83, 4 Si 3.00-3.14, 4 Zr 3.07-3.08
Zr 0.0000 0.5000 0.2225 x2  4 Si 2.81, 2 Li 2.99, 4 Zr 3.07-3.08
Si 0.0000 0.5000 0.7034 x2  2 Li 2.63, 4 Zr 2.81

First-principles (GGA-PBE) data for Li2ZrSi4 after structural relaxation, as listed in Alexandria.

## Properties
**Total magnetization**: 0.000 μB per formula unit
**Calculated total energy**: -4.320 eV per atom
**N(E_F)**: 6.8 states/eV/cell
**ΔE_f (raw)**: 547 meV per atom

abc: 5.0310 5.0310 13.3408
angles: 90.00 90.00 90.00
Closest atoms and distances in Å follow each position.
Space group I4/mmm (No. 139)
Inequivalent atoms, fractional coordinates:
Li 0.0000 0.0000 0.1117 x4  5 Si 2.63-2.92
Zr 0.0000 0.0000 0.5000 x2  6 Si 2.52-2.55
Si 0.0000 0.0000 0.3090 x4  1 Zr 2.55, 1 Li 2.63
Si 0.0000 0.5000 0.0000 x4  2 Zr 2.52

First-principles (GGA-PBE) data for Li2ZrSi after structural relaxation, as listed in Alexandria.

## Properties
**Total magnetization**: 0.000 μB per formula unit
**Calculated total energy**: -4.598 eV per atom
**N(E_F)**: 1.2 states/eV/cell
**ΔE_f (raw)**: -148 meV per atom

abc: 3.0679 4.8047 4.7368
angles: 90.00 93.99 90.00
Closest atoms and distances in Å follow each position.
Space group P2/m (No. 10)
Inequivalent atoms, fractional coordinates:
Li 0.1660 0.0000 0.2686 x2  2 Li 2.48-2.67, 2 Si 2.70
Zr 0.5000 0.5000 0.0000 x1  4 Si 2.73-2.91, 4 Li 2.94
Si 0.0000 0.5000 0.5000 x1  4 Li 2.70, 4 Zr 2.73-2.91

First-principles (GGA-PBE) data for LiZr2Si after structural relaxation, as listed in Alexandria.

## Properties
**Total magnetization**: 0.000 μB per formula unit
**Calculated total energy**: -6.429 eV per atom
**N(E_F)**: 2.3 states/eV/cell
**ΔE_f (raw)**: -321 meV per atom

abc: 4.3837 4.3837 3.7404
angles: 90.00 90.00 90.00
Closest atoms and distances in Å follow each position.
Space group P4/mmm (No. 123)
Inequivalent atoms, fractional coordinates:
Li 0.0000 0.0000 0.0000 x1  8 Zr 2.88, 4 Si 3.10
Zr 0.0000 0.5000 0.5000 x2  4 Si 2.88, 4 Li 2.88, 4 Zr 3.10
Si 0.5000 0.5000 0.0000 x1  8 Zr 2.88, 4 Li 3.10

First-principles (GGA-PBE) data for Li2ZrSi after structural relaxation, as listed in Alexandria.

## Properties
**Total magnetization**: 0.024 μB per formula unit
**Calculated total energy**: -4.329 eV per atom
**N(E_F)**: 6.8 states/eV/cell
**ΔE_f (raw)**: 121 meV per atom

abc: 5.4537 9.3423 2.8345
angles: 90.00 90.00 90.00
Closest atoms and distances in Å follow each position.
Space group Cmmm (No. 65)
Inequivalent atoms, fractional coordinates:
Li 0.2500 0.2500 0.0000 x4  4 Li 2.73-2.83, 4 Zr 3.05, 4 Si 3.05
Zr 0.0000 0.0000 0.5000 x2  2 Si 2.73, 2 Zr 2.83, 8 Li 3.05
Si 0.0000 0.5000 0.5000 x2  2 Zr 2.73, 2 Si 2.83, 8 Li 3.05

First-principles (GGA-PBE) data for LiZrSi2 after structural relaxation, as listed in Alexandria.

## Properties
**Total magnetization**: 0.000 μB per formula unit
**Calculated total energy**: -5.440 eV per atom
**N(E_F)**: 19.3 states/eV/cell
**ΔE_f (raw)**: -113 meV per atom
**Polymorph energy (0 for the lowest one)**: 0.2822 eV/atom

abc: 6.4487 6.4487 6.4487
angles: 90.00 90.00 90.00
Closest atoms and distances in Å follow each position.
Space group Fm-3m (No. 225)
Inequivalent atoms, fractional coordinates:
Li 0.0000 0.0000 0.0000 x4  8 Si 2.79
Zr 0.0000 0.0000 0.5000 x4  8 Si 2.79
Si 0.2500 0.2500 0.2500 x8  4 Zr 2.79, 4 Li 2.79

First-principles (GGA-PBE) data for LiZrSi4 after structural relaxation, as listed in Alexandria.

## Properties
**Total magnetization**: 0.000 μB per formula unit
**Calculated total energy**: -5.506 eV per atom
**N(E_F)**: 16.1 states/eV/cell
**ΔE_f (raw)**: -147 meV per atom

abc: 7.1154 7.1154 7.1154
angles: 90.00 90.00 90.00
Closest atoms and distances in Å follow each position.
Space group F-43m (No. 216)
Inequivalent atoms, fractional coordinates:
Li 0.0000 0.0000 0.0000 x4  12 Si 2.95, 4 Zr 3.08
Zr 0.2500 0.2500 0.2500 x4  12 Si 2.95, 4 Li 3.08
Si 0.1259 0.1259 0.6259 x16  6 Si 2.50-2.53

First-principles (GGA-PBE) data for Li2ZrSi after structural relaxation, as listed in Alexandria.

## Properties
**Total magnetization**: 0.000 μB per formula unit
**Calculated total energy**: -4.631 eV per atom
**N(E_F)**: 1.4 states/eV/cell
**ΔE_f (raw)**: -181 meV per atom

abc: 2.9805 4.0951 5.9433
angles: 90.00 104.10 90.00
Closest atoms and distances in Å follow each position.
Space group Pm (No. 6)
Inequivalent atoms, fractional coordinates:
Li 0.0000 0.0000 0.0000 x1  2 Si 2.56, 4 Li 2.68-2.69
Li 0.4220 0.5000 0.8465 x1  6 Li 2.68-2.98, 2 Si 2.84-2.85
Zr 0.7276 0.0000 0.4680 x1  4 Si 2.79, 2 Zr 2.98, 3 Li 3.07-3.08
Si 0.1297 0.5000 0.2665 x1  4 Li 2.56-2.85, 4 Zr 2.79

First-principles (GGA-PBE) data for LiZrSi2 after structural relaxation, as listed in Alexandria.

## Properties
**Total magnetization**: 0.000 μB per formula unit
**Calculated total energy**: -5.682 eV per atom
**N(E_F)**: 2.4 states/eV/cell
**ΔE_f (raw)**: -355 meV per atom
**Polymorph energy (0 for the lowest one)**: 0.0404 eV/atom

abc: 2.9079 3.7799 5.7984
angles: 90.00 90.65 90.00
Closest atoms and distances in Å follow each position.
Space group P2/m (No. 10)
Inequivalent atoms, fractional coordinates:
Li 0.0000 0.0000 0.0000 x1  8 Si 2.69-2.70, 2 Zr 2.90, 2 Li 2.91
Zr 0.0000 0.0000 0.5000 x1  8 Si 2.88-2.91, 2 Li 2.90, 2 Zr 2.91
Si 0.4979 0.5000 0.7834 x2  1 Si 2.51, 4 Li 2.69-2.70

First-principles (GGA-PBE) data for Li2ZrSi after structural relaxation, as listed in Alexandria.

## Properties
**Total magnetization**: 0.000 μB per formula unit
**Calculated total energy**: -4.506 eV per atom
**N(E_F)**: 5.6 states/eV/cell
**ΔE_f (raw)**: -56 meV per atom

abc: 8.2220 2.9036 6.0341
angles: 90.00 96.73 90.00
Closest atoms and distances in Å follow each position.
Space group Cm (No. 8)
Inequivalent atoms, fractional coordinates:
Li 0.0000 0.0000 0.0000 x2  3 Li 2.48-2.68
Li 0.2487 0.0000 0.8037 x2  3 Li 2.48-2.68, 3 Si 2.64
Zr 0.2692 0.5000 0.3517 x2  3 Si 2.70-2.74, 2 Zr 2.90, 1 Li 3.01
Si 0.0121 0.5000 0.5913 x2  5 Li 2.64-2.87, 3 Zr 2.70-2.74, 2 Si 2.90

First-principles (GGA-PBE) data for Li2ZrSi after structural relaxation, as listed in Alexandria.

## Properties
**Total magnetization**: 0.000 μB per formula unit
**Calculated total energy**: -4.736 eV per atom
**N(E_F)**: 1.6 states/eV/cell
**ΔE_f (raw)**: -287 meV per atom

abc: 3.8481 3.8481 4.6583
angles: 90.00 90.00 90.00
Closest atoms and distances in Å follow each position.
Space group P4/mmm (No. 123)
Inequivalent atoms, fractional coordinates:
Li 0.0000 0.5000 0.0000 x2  4 Li 2.72, 4 Zr 3.02, 4 Si 3.02
Zr 0.0000 0.0000 0.5000 x1  4 Si 2.72, 8 Li 3.02
Si 0.5000 0.5000 0.5000 x1  4 Zr 2.72, 8 Li 3.02

First-principles (GGA-PBE) data for Li3ZrSi after structural relaxation, as listed in Alexandria.

## Properties
**Total magnetization**: 0.001 μB per formula unit
**Calculated total energy**: -3.521 eV per atom
**N(E_F)**: 4.5 states/eV/cell
**ΔE_f (raw)**: 422 meV per atom
**Polymorph energy (0 for the lowest one)**: 0.0000 eV/atom

abc: 4.4424 4.4424 4.4424
angles: 90.00 90.00 90.00
Closest atoms and distances in Å follow each position.
Space group Pm-3m (No. 221)
Inequivalent atoms, fractional coordinates:
Li 0.0000 0.0000 0.5000 x3  2 Si 2.22
Zr 0.5000 0.5000 0.5000 x1  12 Li 3.14
Si 0.0000 0.0000 0.0000 x1  6 Li 2.22

First-principles (GGA-PBE) data for LiZrSi after structural relaxation, as listed in Alexandria.

## Properties
**Total magnetization**: 0.000 μB per formula unit
**Calculated total energy**: -5.280 eV per atom
**N(E_F)**: 2.2 states/eV/cell
**ΔE_f (raw)**: 15 meV per atom

abc: 2.9920 2.9920 7.2878
angles: 90.00 90.00 120.00
Closest atoms and distances in Å follow each position.
Space group P3m1 (No. 156)
Inequivalent atoms, fractional coordinates:
Li 0.0000 0.0000 0.0000 x1  3 Si 2.74, 6 Li 2.99
Zr 0.3333 0.6667 0.6072 x1  3 Si 2.87, 6 Zr 2.99
Si 0.6667 0.3333 0.2924 x1  3 Li 2.74, 3 Zr 2.87, 6 Si 2.99

First-principles (GGA-PBE) data for LiZr2Si after structural relaxation, as listed in Alexandria.

## Properties
**Total magnetization**: 0.000 μB per formula unit
**Calculated total energy**: -6.081 eV per atom
**N(E_F)**: 9.9 states/eV/cell
**ΔE_f (raw)**: 27 meV per atom

abc: 7.4512 7.4512 5.4646
angles: 90.00 90.00 90.00
Closest atoms and distances in Å follow each position.
Space group I-42d (No. 122)
Inequivalent atoms, fractional coordinates:
Li 0.0000 0.0000 0.0000 x4  2 Si 2.73, 4 Zr 2.75
Zr 0.2451 0.7500 0.6250 x8  2 Si 2.70, 2 Zr 2.73, 2 Li 2.75
Si 0.0000 0.0000 0.5000 x4  4 Zr 2.70, 2 Li 2.73

First-principles (GGA-PBE) data for Li2ZrSi after structural relaxation, as listed in Alexandria.

## Properties
**Total magnetization**: 0.000 μB per formula unit
**Calculated total energy**: -4.439 eV per atom
**N(E_F)**: 4.2 states/eV/cell
**ΔE_f (raw)**: 11 meV per atom

abc: 3.0089 4.6442 9.3827
angles: 90.00 90.00 90.00
Closest atoms and distances in Å follow each position.
Space group Imm2 (No. 44)
Inequivalent atoms, fractional coordinates:
Li 0.0000 0.0000 0.0000 x2  4 Si 2.79, 4 Li 2.85-3.01, 4 Zr 3.04-3.10
Li 0.0000 0.5000 0.2419 x2  2 Si 2.45
Zr 0.0000 0.5000 0.7814 x2  8 Li 2.79-3.10, 2 Si 2.82, 2 Zr 3.01
Si 0.0000 0.0000 0.5353 x2  2 Li 2.45